Here is a crystal of Li2SbCl relaxed with PBEsol from Alexandria via LeMat-Bulk. Energies are from SCAN.

Computed properties:
Volume in Å³ per cell: 78.47
Calculated density in g cm⁻³: 3.62
Symmetry: C2/m, No. 12
Crystal system: monoclinic
Calculated total energy in eV per atom: -13.271

Structure (extended XYZ):
```
4
Lattice="3.189 -3.870 0.000 3.189 3.870 0.000 -0.012 0.000 3.179" Properties=species:S:1:pos:R:3 pbc="T T T"
Li 1.594 1.935 0.000
Li 1.594 -1.935 0.000
Sb -0.006 0.000 1.590
Cl 3.183 0.000 1.590
```

Here is a crystal of Li2SbCl relaxed with PBEsol from Alexandria via LeMat-Bulk. Energies are from SCAN.

Computed properties:
Volume in Å³ per cell: 73.86
Calculated density in g cm⁻³: 3.85
Symmetry: R-3m, No. 166
Crystal system: trigonal
Calculated total energy in eV per atom: -13.680

Structure (extended XYZ):
```
4
Lattice="1.685 0.973 7.511 -1.685 0.973 7.511 0.000 -1.946 7.511" Properties=species:S:1:pos:R:3 pbc="T T T"
Li 0.000 0.000 5.231
Li 0.000 0.000 17.300
Sb 0.000 0.000 0.000
Cl 0.000 0.000 11.266
```

Number 1: spin magnetization 0.000 μB per atom. Number 2: spin magnetization 0.000 μB per atom.